A relaxed structure of LiFeF4. Source: the Alexandria database, functional GGA+U.

Geometry as CIF:
```
data_LiFeF4
_chemical_formula_sum 'Li4 Fe4 F16'
_space_group_name_H-M_alt 'P 1'
_space_group_IT_number 1
_cell_length_a 6.915
_cell_length_b 6.915
_cell_length_c 7.272
_cell_angle_alpha 74.55
_cell_angle_beta 74.55
_cell_angle_gamma 81.49
loop_
_space_group_symop_operation_xyz
'x,y,z'
loop_
_atom_site_label
_atom_site_type_symbol
_atom_site_fract_x
_atom_site_fract_y
_atom_site_fract_z
F1 F 0.816 0.515 0.394
F2 F 0.191 0.191 0.376
F3 F 0.485 0.184 0.606
F4 F 0.515 0.816 0.394
F5 F 0.184 0.485 0.606
F6 F 0.899 0.200 0.716
F7 F 0.809 0.809 0.624
F8 F 0.101 0.800 0.284
Li1 Li 0.246 0.754 0.500
Fe1 Fe 0.210 0.210 0.622
Fe2 Fe 0.790 0.790 0.378
F9 F 0.810 0.461 0.985
F10 F 0.539 0.190 0.015
Fe3 Fe 0.808 0.192 0.000
F11 F 0.800 0.101 0.284
F12 F 0.200 0.899 0.716
Li2 Li 0.268 0.268 0.100
F13 F 0.867 0.867 0.048
Fe4 Fe 0.192 0.808 0.000
Li3 Li 0.732 0.732 0.900
F14 F 0.461 0.810 0.985
F15 F 0.133 0.133 0.952
F16 F 0.190 0.539 0.015
Li4 Li 0.754 0.246 0.500
```

As for the space-group type: C2/m, No. 12. The total magnetization is 4.96 μB/f.u. As for the energy above the most stable polymorph in this dataset: 53 meV per atom.